No. 1
Compound: Mg2CdHg8
Source: Alexandria
Functional: PBE-GGA
Structure: relaxed

space group = C2/m (12)
polymorph energy (0 for the lowest one) = 0.00 eV/f.u.
total magnetization = 0.00 μB per formula unit
E = -6.93 eV per formula unit
energy of formation from the pure elements = -40 kJ/mol of formula units
DOS at the Fermi energy = 3.72 states/eV/f.u.

abc: 5.3076 8.8708 7.5389
angles: 124.11 110.61 90.00
With the nearest neighbours (Å) after each atom.
Element x y z (fractional)
Hg  0.8637  0.8093  0.7275  2 Mg 3.07, 4 Hg 3.10-3.26, 2 Cd 3.12
Hg  0.9573  0.2903  0.9146  2 Mg 2.98-3.20, 7 Hg 3.13-3.29
Hg  0.3201  0.0853  0.6403  1 Cd 3.05, 7 Hg 3.11-3.31, 1 Mg 3.26
Hg  0.3982  0.5452  0.7964  3 Mg 3.04-3.09, 4 Hg 3.10-3.31, 1 Cd 3.38
Hg  0.0427  0.7097  0.0854  2 Mg 2.98-3.20, 7 Hg 3.13-3.29
Hg  0.1363  0.1907  0.2725  2 Mg 3.07, 4 Hg 3.10-3.26, 2 Cd 3.12
Hg  0.6018  0.4548  0.2036  3 Mg 3.04-3.09, 4 Hg 3.10-3.31, 1 Cd 3.38
Hg  0.6799  0.9147  0.3597  1 Cd 3.05, 7 Hg 3.11-3.31, 1 Mg 3.26
Mg  0.2289  0.6500  0.4578  8 Hg 2.98-3.26, 1 Cd 3.17
Mg  0.7711  0.3500  0.5422  8 Hg 2.98-3.26, 1 Cd 3.17
Cd  0.5000  0.0000  0.0000  8 Hg 3.05-3.38, 2 Mg 3.17

=====

No. 2
Compound: MgCd2Hg
Source: Alexandria
Functional: PBE-GGA
Structure: relaxed

space group = I-42d (122)
polymorph energy (0 for the lowest one) = 0.27 eV/f.u.
total magnetization = 0.00 μB per formula unit
E = -3.77 eV per formula unit
energy of formation from the pure elements = -4 kJ/mol of formula units
DOS at the Fermi energy = 1.73 states/eV/f.u.

abc: 4.3202 4.3202 10.8348
angles: 78.50 78.50 90.00
With the nearest neighbours (Å) after each atom.
Element x y z (fractional)
Hg  0.0000  0.0000  0.0000  4 Cd 3.03, 4 Mg 3.05
Hg  0.7500  0.2500  0.5000  4 Cd 3.03, 4 Mg 3.05
Mg  0.2500  0.7500  0.5000  4 Cd 3.00, 4 Hg 3.05
Mg  0.5000  0.5000  0.0000  4 Cd 3.00, 4 Hg 3.05
Cd  0.3750  0.3817  0.7500  2 Mg 3.00, 4 Cd 3.01-3.10, 2 Hg 3.03
Cd  0.1317  0.6250  0.2500  2 Mg 3.00, 4 Cd 3.01-3.10, 2 Hg 3.03
Cd  0.8750  0.8683  0.7500  2 Mg 3.00, 4 Cd 3.01-3.10, 2 Hg 3.03
Cd  0.6183  0.1250  0.2500  2 Mg 3.00, 4 Cd 3.01-3.10, 2 Hg 3.03

=====

No. 3
Compound: Mg2Cd7Hg2
Source: Alexandria
Functional: PBE-GGA
Structure: relaxed

space group = C2/m (12)
polymorph energy (0 for the lowest one) = 0.00 eV/f.u.
total magnetization = 0.00 μB per formula unit
E = -10.40 eV per formula unit
energy of formation from the pure elements = -20 kJ/mol of formula units
DOS at the Fermi energy = 2.89 states/eV/f.u.

abc: 6.1798 7.6425 6.1798
angles: 107.69 72.67 107.69
With the nearest neighbours (Å) after each atom.
Element x y z (fractional)
Mg  0.5514  0.3029  0.5514  8 Cd 3.01-3.26, 2 Hg 3.01
Mg  0.4486  0.6971  0.4486  8 Cd 3.01-3.26, 2 Hg 3.01
Cd  0.2503  0.9535  0.2503  4 Cd 3.03-3.17, 4 Hg 3.08-3.16, 2 Mg 3.17-3.26
Cd  0.0852  0.3359  0.4885  5 Cd 2.95-3.17, 3 Mg 3.01-3.14, 1 Hg 3.04
Cd  0.0000  0.5000  0.0000  4 Cd 2.97
Cd  0.4885  0.3359  0.0852  5 Cd 2.95-3.17, 3 Mg 3.01-3.14, 1 Hg 3.04
Cd  0.7497  0.0465  0.7497  4 Cd 3.03-3.17, 4 Hg 3.08-3.16, 2 Mg 3.17-3.26
Cd  0.9148  0.6641  0.5115  5 Cd 2.95-3.17, 3 Mg 3.01-3.14, 1 Hg 3.04
Cd  0.5115  0.6641  0.9148  5 Cd 2.95-3.17, 3 Mg 3.01-3.14, 1 Hg 3.04
Hg  0.7842  0.0000  0.2158  2 Mg 3.01, 6 Cd 3.04-3.16, 1 Hg 3.16
Hg  0.2158  0.0000  0.7842  2 Mg 3.01, 6 Cd 3.04-3.16, 1 Hg 3.16

=====

No. 4
Compound: Mg2CdHg
Source: Alexandria
Functional: PBE-GGA
Structure: relaxed

space group = C2/m (12)
polymorph energy (0 for the lowest one) = 0.22 eV/f.u.
total magnetization = 0.00 μB per formula unit
E = -4.86 eV per formula unit
energy of formation from the pure elements = -44 kJ/mol of formula units
DOS at the Fermi energy = 1.38 states/eV/f.u.

abc: 5.1269 5.1269 5.5736
angles: 80.04 80.04 38.28
With the nearest neighbours (Å) after each atom.
Element x y z (fractional)
Mg  0.5019  0.5019  0.4975  3 Cd 3.00-3.08, 3 Hg 3.01-3.05, 4 Mg 3.24-3.27
Mg  0.9981  0.9981  0.0025  3 Cd 3.00-3.08, 3 Hg 3.01-3.05, 4 Mg 3.24-3.27
Cd  0.7500  0.7500  0.7500  6 Mg 3.00-3.08, 4 Hg 3.25
Hg  0.2500  0.2500  0.2500  6 Mg 3.01-3.05, 4 Cd 3.25, 2 Hg 3.36

=====

No. 5
Compound: Mg2Cd4Hg5
Source: Alexandria
Functional: PBE-GGA
Structure: relaxed

space group = R-3m (166)
polymorph energy (0 for the lowest one) = 0.82 eV/f.u.
total magnetization = 0.00 μB per formula unit
E = -8.02 eV per formula unit
energy of formation from the pure elements = 33 kJ/mol of formula units
DOS at the Fermi energy = 4.38 states/eV/f.u.

abc: 4.7345 4.7345 16.6176
angles: 81.81 81.81 60.00
With the nearest neighbours (Å) after each atom.
Element x y z (fractional)
Hg  0.7879  0.7879  0.6362  3 Cd 2.91, 3 Mg 2.96
Hg  0.6230  0.6230  0.1311  5 Cd 2.81-3.09
Hg  0.3770  0.3770  0.8689  5 Cd 2.81-3.09
Hg  0.5000  0.5000  0.5000  6 Mg 2.94, 2 Cd 3.24
Hg  0.2121  0.2121  0.3638  3 Cd 2.91, 3 Mg 2.96
Cd  0.3143  0.3143  0.0572  4 Hg 2.99-3.09, 3 Cd 3.32
Cd  0.6857  0.6857  0.9428  4 Hg 2.99-3.09, 3 Cd 3.32
Cd  0.4342  0.4342  0.6975  4 Hg 2.81-2.91
Cd  0.5658  0.5658  0.3025  4 Hg 2.81-2.91
Mg  0.1444  0.1444  0.5667  6 Hg 2.94-2.96
Mg  0.8556  0.8556  0.4333  6 Hg 2.94-2.96

=====

No. 6
Compound: MgCd8Hg2
Source: Alexandria
Functional: PBE-GGA
Structure: relaxed

space group = C2/m (12)
polymorph energy (0 for the lowest one) = 0.00 eV/f.u.
total magnetization = 0.00 μB per formula unit
E = -9.13 eV per formula unit
energy of formation from the pure elements = 37 kJ/mol of formula units
DOS at the Fermi energy = 3.50 states/eV/f.u.

abc: 5.0329 7.9276 7.9276
angles: 62.05 81.98 81.98
With the nearest neighbours (Å) after each atom.
Element x y z (fractional)
Cd  0.2079  0.3816  0.7570  1 Mg 2.97, 1 Hg 3.01, 7 Cd 3.03-3.24
Cd  0.9079  0.2301  0.2301  2 Hg 2.85-2.95, 4 Cd 2.97-3.10, 1 Mg 3.08
Cd  0.6643  0.6434  0.6434  8 Cd 2.97-3.24, 1 Hg 3.14
Cd  0.7921  0.6184  0.2430  1 Mg 2.97, 1 Hg 3.01, 7 Cd 3.03-3.24
Cd  0.3357  0.3566  0.3566  8 Cd 2.97-3.24, 1 Hg 3.14
Cd  0.2079  0.7570  0.3816  1 Mg 2.97, 1 Hg 3.01, 7 Cd 3.03-3.24
Cd  0.0921  0.7699  0.7699  2 Hg 2.85-2.95, 4 Cd 2.97-3.10, 1 Mg 3.08
Cd  0.7921  0.2430  0.6184  1 Mg 2.97, 1 Hg 3.01, 7 Cd 3.03-3.24
Hg  0.5337  0.8771  0.8771  5 Cd 2.85-3.14, 2 Mg 2.92-3.09
Hg  0.4663  0.1229  0.1229  5 Cd 2.85-3.14, 2 Mg 2.92-3.09
Mg  0.0000  0.0000  0.0000  4 Hg 2.92-3.09, 6 Cd 2.97-3.08

=====

No. 7
Compound: Mg4CdHg
Source: Alexandria
Functional: PBE-GGA
Structure: relaxed

space group = F-43m (216)
polymorph energy (0 for the lowest one) = 0.84 eV/f.u.
total magnetization = 0.00 μB per formula unit
E = -7.30 eV per formula unit
energy of formation from the pure elements = 29 kJ/mol of formula units
DOS at the Fermi energy = 1.80 states/eV/f.u.

abc: 5.8232 5.8232 5.8232
angles: 60.00 60.00 60.00
With the nearest neighbours (Å) after each atom.
Element x y z (fractional)
Mg  0.3751  0.3751  0.3751  6 Mg 2.91
Mg  0.8747  0.3751  0.3751  6 Mg 2.91
Mg  0.3751  0.8747  0.3751  6 Mg 2.91
Mg  0.3751  0.3751  0.8747  6 Mg 2.91
Cd  0.7500  0.7500  0.7500  12 Mg 3.41, 4 Hg 3.57
Hg  0.0000  0.0000  0.0000  12 Mg 3.41, 4 Cd 3.57

=====

No. 8
Compound: MgCd2Hg4
Source: Alexandria
Functional: PBE-GGA
Structure: relaxed

space group = I4/mmm (139)
polymorph energy (0 for the lowest one) = 0.85 eV/f.u.
total magnetization = 0.00 μB per formula unit
E = -4.06 eV per formula unit
energy of formation from the pure elements = 56 kJ/mol of formula units
DOS at the Fermi energy = 1.95 states/eV/f.u.

abc: 5.5133 5.5133 8.2030
angles: 109.64 109.64 90.00
With the nearest neighbours (Å) after each atom.
Element x y z (fractional)
Cd  0.6064  0.6064  0.2127  5 Hg 2.86-3.16, 1 Cd 3.07
Cd  0.3936  0.3936  0.7873  5 Hg 2.86-3.16, 1 Cd 3.07
Hg  0.1953  0.1953  0.3906  1 Mg 2.82, 1 Cd 2.86
Hg  0.8047  0.8047  0.6094  1 Mg 2.82, 1 Cd 2.86
Hg  0.5000  0.0000  0.0000  2 Mg 2.76
Hg  0.0000  0.5000  0.0000  2 Mg 2.76
Mg  0.0000  0.0000  0.0000  6 Hg 2.76-2.82

=====

No. 9
Compound: Mg2Cd2Hg
Source: Alexandria
Functional: PBE-GGA
Structure: relaxed

space group = P4/mbm (127)
polymorph energy (0 for the lowest one) = 0.34 eV/f.u.
total magnetization = 0.00 μB per formula unit
E = -5.52 eV per formula unit
energy of formation from the pure elements = -19 kJ/mol of formula units
DOS at the Fermi energy = 2.08 states/eV/f.u.

abc: 8.5105 8.5105 3.2042
angles: 90.00 90.00 90.00
With the nearest neighbours (Å) after each atom.
Element x y z (fractional)
Cd  0.8777  0.6223  0.0000  6 Mg 2.89-3.05, 3 Cd 2.94-3.20
Cd  0.6223  0.1223  0.0000  6 Mg 2.89-3.05, 3 Cd 2.94-3.20
Cd  0.1223  0.3777  0.0000  6 Mg 2.89-3.05, 3 Cd 2.94-3.20
Cd  0.3777  0.8777  0.0000  6 Mg 2.89-3.05, 3 Cd 2.94-3.20
Hg  0.0000  0.0000  0.0000  2 Hg 3.20, 4 Cd 3.38, 8 Mg 3.52
Hg  0.5000  0.5000  0.0000  2 Hg 3.20, 4 Cd 3.38, 8 Mg 3.52
Mg  0.8219  0.3219  0.5000  6 Cd 2.89-3.05, 2 Mg 3.20
Mg  0.3219  0.1781  0.5000  6 Cd 2.89-3.05, 2 Mg 3.20
Mg  0.6781  0.8219  0.5000  6 Cd 2.89-3.05, 2 Mg 3.20
Mg  0.1781  0.6781  0.5000  6 Cd 2.89-3.05, 2 Mg 3.20

=====

No. 10
Compound: Mg3Cd2Hg8
Source: Alexandria
Functional: PBE-GGA
Structure: relaxed

space group = P-1 (2)
polymorph energy (0 for the lowest one) = 0.00 eV/f.u.
total magnetization = 0.00 μB per formula unit
E = -9.95 eV per formula unit
energy of formation from the pure elements = -89 kJ/mol of formula units
DOS at the Fermi energy = 2.85 states/eV/f.u.

abc: 5.2997 9.7219 8.3856
angles: 132.86 83.52 86.71
With the nearest neighbours (Å) after each atom.
Element x y z (fractional)
Cd  0.5522  0.7785  0.4869  8 Hg 2.98-3.24, 2 Mg 3.21
Cd  0.4478  0.2215  0.5131  8 Hg 2.98-3.24, 2 Mg 3.21
Hg  0.4181  0.2203  0.8696  2 Cd 2.98-3.10, 3 Mg 3.03-3.18, 3 Hg 3.06-3.23
Hg  0.9081  0.3154  0.7599  2 Mg 2.99-3.22, 2 Cd 3.02-3.14, 3 Hg 3.06-3.23
Hg  0.7169  0.5648  0.6313  4 Mg 2.96-3.10, 3 Hg 3.07-3.12, 2 Cd 3.16-3.24
Hg  0.9865  0.0763  0.2436  3 Mg 2.93-3.27, 2 Cd 3.00-3.22, 2 Hg 3.18-3.24
Hg  0.0135  0.9237  0.7564  3 Mg 2.93-3.27, 2 Cd 3.00-3.22, 2 Hg 3.18-3.24
Hg  0.0919  0.6846  0.2401  2 Mg 2.99-3.22, 2 Cd 3.02-3.14, 3 Hg 3.06-3.23
Hg  0.5819  0.7797  0.1304  2 Cd 2.98-3.10, 3 Mg 3.03-3.18, 3 Hg 3.06-3.23
Hg  0.2831  0.4352  0.3687  4 Mg 2.96-3.10, 3 Hg 3.07-3.12, 2 Cd 3.16-3.24
Mg  0.8466  0.3427  0.1398  8 Hg 2.96-3.22, 1 Cd 3.21
Mg  0.1534  0.6573  0.8602  8 Hg 2.96-3.22, 1 Cd 3.21
Mg  0.5000  0.0000  0.0000  8 Hg 2.93-3.27, 2 Cd 3.21